Computed, not measured: an optimized crystal structure of SrTeIr2 at the PBE-GGA level of DFT.

The structure in CIF format:
```
data_SrTeIr2
_chemical_formula_sum 'Sr4 Te4 Ir8'
_cell_length_a 7.7438
_cell_length_b 7.7438
_cell_length_c 6.3864
_cell_angle_alpha 90.00
_cell_angle_beta 90.00
_cell_angle_gamma 90.00
_symmetry_space_group_name_H-M 'I -4 2 d'
_symmetry_Int_Tables_number 122
_symmetry_space_group_name_Hall 'I -4 2bw'
loop_
_atom_site_label
_atom_site_type_symbol
_atom_site_fract_x
_atom_site_fract_y
_atom_site_fract_z
Sr1 Sr 0.0000 0.0000 0.0000
Te1 Te 0.0000 0.0000 0.5000
Ir1 Ir 0.1850 0.7500 0.6250
```

Values from the calculation:
* energy relative to the elements, uncorrected: 0.310 eV per atom
* magnetic moment: 0.00 μB per atom

---

Computed, not measured: an optimized crystal structure of Tl2MoRu at the PBE-GGA level of DFT.

The structure in CIF format:
```
data_Tl2MoRu
_chemical_formula_sum 'Tl4 Mo2 Ru2'
_cell_length_a 3.1061
_cell_length_b 5.2481
_cell_length_c 9.4815
_cell_angle_alpha 90.00
_cell_angle_beta 90.00
_cell_angle_gamma 90.00
_symmetry_space_group_name_H-M 'I m m m'
_symmetry_Int_Tables_number 71
_symmetry_space_group_name_Hall '-I 2 2'
loop_
_atom_site_label
_atom_site_type_symbol
_atom_site_fract_x
_atom_site_fract_y
_atom_site_fract_z
Tl1 Tl 0.0000 0.0000 0.2411
Mo1 Mo 0.0000 0.5000 0.0000
Ru1 Ru 0.0000 0.5000 0.5000
```

Values from the calculation:
* E_tot: -5.388 eV per atom
* magnetic moment: 0.21 μB per atom

---

Computed, not measured: an optimized crystal structure of K2PaTe3O12 at the PBE-GGA level of DFT.

The structure in CIF format:
```
data_K2PaTe3O12
_chemical_formula_sum 'K6 Pa3 Te9 O36'
_cell_length_a 7.4275
_cell_length_b 7.4275
_cell_length_c 19.2204
_cell_angle_alpha 90.00
_cell_angle_beta 90.00
_cell_angle_gamma 120.00
_symmetry_space_group_name_H-M 'R -3 m'
_symmetry_Int_Tables_number 166
_symmetry_space_group_name_Hall '-R 3 2"'
loop_
_atom_site_label
_atom_site_type_symbol
_atom_site_fract_x
_atom_site_fract_y
_atom_site_fract_z
K1 K 0.0000 0.0000 0.1054
Pa1 Pa 0.0000 0.0000 0.5000
Te1 Te 0.0000 0.5000 0.0000
O1 O 0.0610 0.5305 0.1000
O2 O 0.0679 0.5339 0.3512
```

Values from the calculation:
* energy relative to the elements, uncorrected: -1.667 eV per atom
* magnetic moment: 0.00 μB per atom

---

Computed, not measured: an optimized crystal structure of Th2Ni4Sb3Au at the PBE-GGA level of DFT.

The structure in CIF format:
```
data_Th2Ni4Sb3Au
_chemical_formula_sum 'Th2 Ni4 Sb3 Au1'
_cell_length_a 4.3339
_cell_length_b 4.3339
_cell_length_c 10.3697
_cell_angle_alpha 90.00
_cell_angle_beta 90.00
_cell_angle_gamma 90.00
_symmetry_space_group_name_H-M 'P -4 m 2'
_symmetry_Int_Tables_number 115
loop_
_symmetry_equiv_pos_as_xyz
'x,y,z'
'y,-x,-z'
'-x,-y,z'
'-y,x,-z'
'-x,y,z'
'-y,-x,-z'
'x,-y,z'
'y,x,-z'
loop_
_atom_site_label
_atom_site_type_symbol
_atom_site_fract_x
_atom_site_fract_y
_atom_site_fract_z
Th1 Th 0.0000 0.5000 0.2455
Ni1 Ni 0.0000 0.0000 0.0000
Ni2 Ni 0.0000 0.5000 0.6374
Ni3 Ni 0.5000 0.5000 0.0000
Sb1 Sb 0.0000 0.5000 0.8733
Sb2 Sb 0.5000 0.5000 0.5000
Au1 Au 0.0000 0.0000 0.5000
```

Values from the calculation:
* energy relative to the elements, uncorrected: -0.598 eV per atom
* magnetic moment: 0.00 μB per atom

---

Computed, not measured: an optimized crystal structure of Ca2Tl2P at the PBE-GGA level of DFT.

The structure in CIF format:
```
data_Ca2Tl2P
_chemical_formula_sum 'Ca4 Tl4 P2'
_cell_length_a 7.5357
_cell_length_b 7.5357
_cell_length_c 5.3995
_cell_angle_alpha 90.00
_cell_angle_beta 90.00
_cell_angle_gamma 90.00
_symmetry_space_group_name_H-M 'P 4/m b m'
_symmetry_Int_Tables_number 127
_symmetry_space_group_name_Hall '-P 4 2ab'
loop_
_atom_site_label
_atom_site_type_symbol
_atom_site_fract_x
_atom_site_fract_y
_atom_site_fract_z
Ca1 Ca 0.1765 0.3235 0.0000
Tl1 Tl 0.1458 0.6458 0.5000
P1 P 0.0000 0.0000 0.0000
```

Values from the calculation:
* E_tot: -3.160 eV per atom
* magnetic moment: 0.00 μB per atom

---

Computed, not measured: an optimized crystal structure of CsLiLaBr at the PBE-GGA level of DFT.

The structure in CIF format:
```
data_CsLiLaBr
_chemical_formula_sum 'Cs3 Li3 La3 Br3'
_cell_length_a 3.9522
_cell_length_b 3.9522
_cell_length_c 32.9680
_cell_angle_alpha 90.00
_cell_angle_beta 90.00
_cell_angle_gamma 120.00
_symmetry_space_group_name_H-M 'R 3 m'
_symmetry_Int_Tables_number 160
_symmetry_space_group_name_Hall 'R 3 -2"'
loop_
_atom_site_label
_atom_site_type_symbol
_atom_site_fract_x
_atom_site_fract_y
_atom_site_fract_z
Cs1 Cs 0.0000 0.0000 0.0000
Li1 Li 0.0000 0.0000 0.1251
La1 La 0.0000 0.0000 0.8867
Br1 Br 0.0000 0.0000 0.4177
```

Values from the calculation:
* energy relative to the elements, uncorrected: -0.461 eV per atom
* magnetic moment: 0.00 μB per atom

---

Computed, not measured: an optimized crystal structure of Ir4Au5 at the PBE-GGA level of DFT.

The structure in CIF format:
```
data_Ir4Au5
_chemical_formula_sum 'Ir8 Au10'
_cell_length_a 8.6443
_cell_length_b 8.6443
_cell_length_c 3.9758
_cell_angle_alpha 90.00
_cell_angle_beta 90.00
_cell_angle_gamma 90.00
_symmetry_space_group_name_H-M 'I 4/m m m'
_symmetry_Int_Tables_number 139
_symmetry_space_group_name_Hall '-I 4 2'
loop_
_atom_site_label
_atom_site_type_symbol
_atom_site_fract_x
_atom_site_fract_y
_atom_site_fract_z
Ir1 Ir 0.0000 0.3499 0.0000
Au1 Au 0.0000 0.0000 0.0000
Au2 Au 0.1680 0.1680 0.5000
```

Values from the calculation:
* E_tot: -5.433 eV per atom
* magnetic moment: 0.00 μB per atom

---

Computed, not measured: an optimized crystal structure of LiCoS3 at the PBE-GGA level of DFT.

The structure in CIF format:
```
data_LiCoS3
_chemical_formula_sum 'Li1 Co1 S3'
_cell_length_a 4.4804
_cell_length_b 4.4804
_cell_length_c 4.4804
_cell_angle_alpha 90.00
_cell_angle_beta 90.00
_cell_angle_gamma 90.00
_symmetry_space_group_name_H-M 'P m -3 m'
_symmetry_Int_Tables_number 221
_symmetry_space_group_name_Hall '-P 4 2 3'
loop_
_atom_site_label
_atom_site_type_symbol
_atom_site_fract_x
_atom_site_fract_y
_atom_site_fract_z
Li1 Li 0.0000 0.0000 0.0000
Co1 Co 0.5000 0.5000 0.5000
S1 S 0.0000 0.5000 0.5000
```

Values from the calculation:
* energy relative to the elements, uncorrected: 0.046 eV per atom
* magnetic moment: 0.39 μB per atom